The following is a GGA+U calculation of a relaxed MnS3F crystal, from Alexandria via LeMat-Bulk.

```
MnS3F
1.0
-2.6113 2.0245 2.7930
-3.4267 -1.9254 -1.8081
0.3968 -3.3034 2.7656
S Mn F
3 1 1
Cartesian
0.1984 -1.6517 1.3828 S
-1.7133 -0.9627 -0.9041 S
-1.3057 1.0123 1.3965 S
0.0000 0.0000 0.0000 Mn
-2.8206 -1.6021 1.8752 F
```

Results
Polymorph energy (0 for the lowest one)   266.1 meV/atom
M_tot   0.00 Bohr magnetons per cell
Energy   -3.5165 eV per atom
Symmetry   Pm-3m (221)